TbMnTc2O8 | PBE+U | optimized geometry

Summary:
* total energy: -7.765 eV per atom
* magnetization: 8.0 μB per cell
* N(E_F): 0.619 states/eV per atom
* ρ: 4.653 g/cm³

```
TbMnTc2O8
1.0
-2.4695 4.5153 -2.9586
-0.5318 -5.5423 -2.0591
-5.2956 -0.7237 3.3156
Tb Tc O Mn
1 2 8 1
Cartesian
-2.6478 -0.3618 1.6578
-5.5864 -2.7923 0.4014
-2.7105 1.0416 -2.1035
-1.7544 -2.2686 -1.9979
-4.5378 -1.5969 1.3505
-2.2028 0.3788 -0.4506
-3.4834 2.7202 -1.9848
-6.0941 -2.1294 -1.2515
-4.8135 -4.4709 0.2827
-3.7591 -0.1538 -3.0525
-6.5425 0.5179 0.2958
0.0000 0.0000 0.0000
```